Compound: LaEuLu
Source: the Alexandria database
Functional: GGA-PBE
Structure: relaxed

a b c (Å): 3.676 3.676 9.045
angles (deg): 90.00 90.00 120.00
Last column: magnetic moment on the atom in μB.
Atoms (fractional coordinates):
La  0.667  0.333  0.349  -0.02
Lu  0.333  0.667  0.660  -0.01
Eu  0.000  0.000  0.991  7.00

Values from the calculation:
DOS(E_F) = 1.314 states/eV per atom
Distance to the lowest polymorph of the same formula = 0.000 eV/atom
Magnetic moment = 7.45 μB/f.u.
Space-group type = P3m1